This record from the Alexandria database describes an optimized crystal structure of SrAlTe2N. The functional is PBE.

Results
The value obtained for the offset from the most stable computed form is 1248 meV per atom. As for the crystal system: tetragonal. Its space-group type is No. 123. The calculation puts the uncorrected formation energy at 0.817 eV per atom.

a = 6.3167 Å, b = 6.3167 Å, c = 4.8804 Å
α = 90.00°, β = 90.00°, γ = 90.00°
With the nearest neighbours (Å) after each atom.
Element x y z (fractional)
Al: 0.5000 0.5000 0.5000  8 Te 3.99, 4 N 4.47
Sr: 0.0000 0.0000 0.0000  2 N 2.44
N: 0.0000 0.0000 0.5000  2 Sr 2.44
Te: 0.0000 0.5000 0.0000  2 Sr 3.16
Te: 0.5000 0.0000 0.0000  2 Sr 3.16

=====

This record from the Alexandria database describes an optimized crystal structure of BaY2F8. The functional is PBE.

Results
The value obtained for the offset from the most stable computed form is 0 meV per atom. As for the crystal system: monoclinic. Its space-group type is No. 12. The calculation puts the uncorrected formation energy at -4.078 eV per atom.

a = 6.3889 Å, b = 6.3889 Å, c = 4.3251 Å
α = 84.78°, β = 84.78°, γ = 112.79°
With the nearest neighbours (Å) after each atom.
Element x y z (fractional)
F: 0.7406 0.2594 0.5000  2 Y 2.27
Y: 0.6761 0.3239 0.0000  8 F 2.27-2.35
F: 0.3276 0.0465 0.9376  2 Y 2.30-2.35
F: 0.6724 0.9535 0.0624  2 Y 2.30-2.35
Y: 0.3239 0.6761 0.0000  8 F 2.27-2.35
F: 0.6086 0.6086 0.7250  2 Y 2.28
F: 0.9535 0.6724 0.0624  2 Y 2.30-2.35
Ba: 0.0000 0.0000 0.5000  12 F 2.76-2.97
F: 0.0465 0.3276 0.9376  2 Y 2.30-2.35
F: 0.2594 0.7406 0.5000  2 Y 2.27
F: 0.3914 0.3914 0.2750  2 Y 2.28

=====

This record from the Alexandria database describes an optimized crystal structure of Si2TeBrO. The functional is PBE.

Results
As for the crystal system: tetragonal. Its space-group type is No. 123. The calculation puts the uncorrected formation energy at 0.482 eV per atom.

a = 4.5766 Å, b = 4.6919 Å, c = 4.5766 Å
α = 90.00°, β = 90.00°, γ = 90.00°
With the nearest neighbours (Å) after each atom.
Element x y z (fractional)
Si: 0.5000 0.0000 0.0000  2 O 2.29
Te: 0.5000 0.5000 0.5000  4 Br 3.24, 8 Si 3.28
O: 0.0000 0.0000 0.0000  4 Si 2.29, 2 Br 2.35
Br: 0.0000 0.5000 0.0000  2 O 2.35
Si: 0.0000 0.0000 0.5000  2 O 2.29

=====

This record from the Alexandria database describes an optimized crystal structure of PmGe3Pd. The functional is PBE.

Results
The formation energy comes out at -2.72 eV per formula unit. The value obtained for the offset from the most stable computed form is 47 meV per atom. As for the crystal system: monoclinic. Its space-group type is No. 11.

a = 5.7223 Å, b = 5.8031 Å, c = 5.9355 Å
α = 90.00°, β = 90.00°, γ = 93.59°
With the nearest neighbours (Å) after each atom.
Element x y z (fractional)
Pd: 0.0108 0.8845 0.2500  5 Ge 2.53-2.73
Ge: 0.3288 0.1663 0.4791  2 Pd 2.53-2.73, 2 Ge 2.72-2.79
Pm: 0.2021 0.6473 0.7500  2 Pd 3.05-3.25, 8 Ge 3.06-3.34
Ge: 0.3165 0.5855 0.2500  1 Pd 2.54, 2 Ge 2.79
Pd: 0.9892 0.1155 0.7500  5 Ge 2.53-2.73
Ge: 0.3288 0.1663 0.0209  2 Pd 2.53-2.73, 2 Ge 2.72-2.79
Ge: 0.6712 0.8337 0.9791  2 Pd 2.53-2.73, 2 Ge 2.72-2.79
Ge: 0.6835 0.4145 0.7500  1 Pd 2.54, 2 Ge 2.79
Pm: 0.7979 0.3527 0.2500  2 Pd 3.05-3.25, 8 Ge 3.06-3.34
Ge: 0.6712 0.8337 0.5209  2 Pd 2.53-2.73, 2 Ge 2.72-2.79

=====

This record from the Alexandria database describes an optimized crystal structure of CsWCl2. The functional is PBE.

Results
The value obtained for the offset from the most stable computed form is 97 meV per atom. As for the crystal system: tetragonal. Its space-group type is No. 122. The calculation puts the uncorrected formation energy at 0.155 eV per atom.

a = 6.1982 Å, b = 6.1982 Å, c = 8.0467 Å
α = 67.35°, β = 67.35°, γ = 90.00°
With the nearest neighbours (Å) after each atom.
Element x y z (fractional)
Cl: 0.7971 0.1250 0.2500  2 W 2.34
Cl: 0.8750 0.0471 0.7500  2 W 2.34
W: 0.0000 0.0000 0.0000  4 Cl 2.34
Cl: 0.3750 0.2029 0.7500  2 W 2.34
W: 0.7500 0.2500 0.5000  4 Cl 2.34
Cl: 0.9529 0.6250 0.2500  2 W 2.34
Cs: 0.5000 0.5000 0.0000  4 Cl 3.48
Cs: 0.2500 0.7500 0.5000  4 Cl 3.48